1.
Nd2GdCd3AgAu2: relaxed, PBE.

E_form: -13.3 kcal/mol of atoms
calculated volume: 24.1 Å³ per atom

```
Nd2GdCd3AgAu2
1.0
3.940 0.000 0.000
0.000 6.891 3.991
0.000 -6.891 3.991
Nd Gd Cd Ag Au
2 1 3 1 2
Cartesian
0.000 -4.077 3.991
0.000 4.077 3.991
0.000 0.000 3.086
1.970 0.000 0.441
1.970 -1.772 5.308
1.970 1.772 5.308
0.000 0.000 6.338
1.970 -2.259 2.372
1.970 2.259 2.372
```

***

2.
PrGd2Cd3AgAu2: relaxed, PBE.

E_form: -13.3 kcal/mol of atoms
calculated volume: 23.8 Å³ per atom

```
PrGd2Cd3AgAu2
1.0
3.917 0.000 0.000
0.000 6.905 3.963
0.000 -6.905 3.963
Pr Gd Cd Ag Au
1 2 3 1 2
Cartesian
0.000 0.000 0.000
0.000 -2.817 3.082
0.000 2.817 3.082
1.959 0.000 2.654
1.959 -1.813 5.719
1.959 1.813 5.719
0.000 0.000 4.685
1.959 -4.561 4.714
1.959 4.561 4.714
```

***

3.
SmGd2Cd3AgAu2: relaxed, PBE.

E_form: -13.4 kcal/mol of atoms
calculated volume: 23.5 Å³ per atom

```
SmGd2Cd3AgAu2
1.0
3.914 0.000 0.000
0.000 6.850 3.942
0.000 -6.850 3.942
Sm Gd Cd Ag Au
1 2 3 1 2
Cartesian
0.000 0.000 0.000
0.000 -2.798 3.054
0.000 2.798 3.054
1.957 0.000 2.616
1.957 -1.784 5.686
1.957 1.784 5.686
0.000 0.000 4.661
1.957 -4.551 4.670
1.957 4.551 4.670
```

***

Listing total magnetization for the structures above in their given order: 0.001 0.002 0.003 μB per atom.